1.
A plane-wave DFT calculation with GGA-PBE was carried out for a relaxed structure of HoClO2.

theoretical density = 5825 kg/m³
ΔE_f (raw) = -41.59 kcal/mol of atoms
space group = P2_1/m, No. 11
uncorrected energy = -5.889 eV per atom
size of the total moment = 4.012 μB per cell

a b c (Å): 6.2314 3.5691 6.3371
angles (deg): 90.00 109.93 90.00
Last column: nearest neighbours and their distance in Å.
Atoms (fractional coordinates):
Ho: 0.1909 0.2500 0.3404  6 O 2.27-2.41
Ho: 0.8091 0.7500 0.6596  6 O 2.27-2.41
Cl: 0.2416 0.7500 0.0254  3 Ho 2.77-2.89, 2 O 2.99
Cl: 0.7584 0.2500 0.9746  3 Ho 2.77-2.89, 2 O 2.99
O: 0.0516 0.2500 0.6274  3 Ho 2.27-2.39, 2 O 2.34
O: 0.4206 0.7500 0.5587  3 Ho 2.28-2.41, 2 O 2.28
O: 0.5794 0.2500 0.4413  3 Ho 2.28-2.41, 2 O 2.28
O: 0.9484 0.7500 0.3726  3 Ho 2.27-2.39, 2 O 2.34

---

2.
A plane-wave DFT calculation with GGA-PBE was carried out for a relaxed structure of LiCa2As2Ir.

theoretical density = 5804 kg/m³
space group = Ibam, No. 72
uncorrected energy = -4.799 eV per atom
size of the total moment = 0.000 μB per cell
ΔH_f (0 K) = -786.0 meV/atom

a b c (Å): 8.2674 8.2674 8.2674
angles (deg): 138.20 60.15 138.79
Last column: nearest neighbours and their distance in Å.
Atoms (fractional coordinates):
Li: 0.2500 0.2500 0.0000  4 As 2.63, 2 Li 2.91
Li: 0.7500 0.7500 0.0000  4 As 2.63, 2 Li 2.91
Ca: 0.1647 0.7426 0.9073  5 As 2.97-3.22, 2 Ir 3.12, 2 Li 3.16
Ca: 0.3353 0.2426 0.5779  5 As 2.97-3.22, 2 Ir 3.12, 2 Li 3.16
Ca: 0.6647 0.7574 0.4221  5 As 2.97-3.22, 2 Ir 3.12, 2 Li 3.16
Ca: 0.8353 0.2574 0.0927  5 As 2.97-3.22, 2 Ir 3.12, 2 Li 3.16
As: 0.1106 0.2572 0.3678  2 Ir 2.58, 2 Li 2.63
As: 0.3894 0.7572 0.1466  2 Ir 2.58, 2 Li 2.63
As: 0.6106 0.2428 0.8534  2 Ir 2.58, 2 Li 2.63
As: 0.8894 0.7428 0.6322  2 Ir 2.58, 2 Li 2.63
Ir: 0.2500 0.7500 0.5000  4 As 2.58
Ir: 0.7500 0.2500 0.5000  4 As 2.58

---

3.
A plane-wave DFT calculation with GGA-PBE was carried out for a relaxed structure of RbIn2CoHg.

theoretical density = 7067 kg/m³
space group = P4/mmm, No. 123
uncorrected energy = -2.803 eV per atom
size of the total moment = 0.000 μB per cell
ΔH_f (0 K) = -32.8 meV/atom

a b c (Å): 5.0371 5.0371 5.3215
angles (deg): 90.00 90.00 90.00
Last column: nearest neighbours and their distance in Å.
Atoms (fractional coordinates):
Rb: 0.0000 0.0000 0.0000  4 Hg 3.56, 8 In 3.66
In: 0.0000 0.5000 0.5000  2 Co 2.52
In: 0.5000 0.0000 0.5000  2 Co 2.52
Co: 0.5000 0.5000 0.5000  4 In 2.52, 2 Hg 2.66
Hg: 0.5000 0.5000 0.0000  2 Co 2.66

---

no.,DOS at the Fermi energy (states/eV/f.u.)
1,0.49
2,4.27
3,1.51